(1)
The following is a DFT calculation (PBE with a Hubbard U) of crystalline CrINO2 at its relaxed geometry.

Properties
Total energy in eV per atom: -5.08
Space group: P4/mmm, No. 123
Crystal system: tetragonal

a b c (Å): 3.618 3.618 4.783
angles (deg): 90.00 90.00 90.00
Element x y z (fractional)
1 Cr 0.000 0.000 0.000
2 I 0.500 0.500 0.500
3 N 0.000 0.000 0.500
4 O 0.000 0.500 0.000
5 O 0.500 0.000 0.000

***

(2)
The following is a DFT calculation (PBE with a Hubbard U) of crystalline CrINO2 at its relaxed geometry.

Properties
Total energy in eV per atom: -4.87
Space group: P4/mmm, No. 123
Crystal system: tetragonal

a b c (Å): 4.070 4.070 4.229
angles (deg): 90.00 90.00 90.00
Element x y z (fractional)
1 Cr 0.000 0.000 0.000
2 I 0.500 0.500 0.500
3 N 0.500 0.500 0.000
4 O 0.000 0.500 0.500
5 O 0.500 0.000 0.500

***

(3)
The following is a DFT calculation (PBE with a Hubbard U) of crystalline CrINO2 at its relaxed geometry.

Properties
Total energy in eV per atom: -4.99
Space group: P4/mmm, No. 123
Crystal system: tetragonal

a b c (Å): 3.518 3.518 5.930
angles (deg): 90.00 90.00 90.00
Element x y z (fractional)
1 Cr 0.000 0.000 0.000
2 I 0.000 0.000 0.500
3 N 0.500 0.500 0.500
4 O 0.000 0.500 0.000
5 O 0.500 0.000 0.000